(1)
Computed, not measured: a relaxed CaZnIr2F crystal at the PBE-GGA level of DFT.

a b c (Å): 5.0951 4.0305 5.0951
angles (deg): 90.00 90.00 90.00
With the nearest neighbours (Å) after each atom.
Element x y z (fractional)
Ir 0.0000 0.0000 0.5000  2 Ca 2.55
Ir 0.5000 0.0000 0.0000  2 Ca 2.55
Ca 0.0000 0.0000 0.0000  2 F 2.02
Zn 0.5000 0.5000 0.5000  8 Ir 3.25, 4 F 3.60
F 0.0000 0.5000 0.0000  2 Ca 2.02

Calculated values
Energy relative to the elements, uncorrected   0.767 eV per atom
E   -19.0 eV for the cell shown

=====

(2)
Computed, not measured: a relaxed K2CaF crystal at the PBE-GGA level of DFT.

a b c (Å): 8.0708 8.0708 8.0699
angles (deg): 60.00 60.00 90.00
With the nearest neighbours (Å) after each atom.
Element x y z (fractional)
Ca 0.0000 0.0000 0.0000  12 K 4.55-4.92, 4 F 4.94, 4 Ca 4.94
Ca 0.7500 0.2500 0.5000  12 K 4.55-4.92, 4 F 4.94, 4 Ca 4.94
K 0.8750 0.6523 0.7500  2 F 2.48
K 0.4023 0.1250 0.2500  2 F 2.48
K 0.3477 0.6250 0.2500  2 F 2.48
K 0.3750 0.5977 0.7500  2 F 2.48
F 0.2500 0.7500 0.5000  4 K 2.48
F 0.5000 0.5000 0.0000  4 K 2.48

Calculated values
Energy relative to the elements, uncorrected   -1.111 eV per atom
E   -21.0 eV for the cell shown

=====

(3)
Computed, not measured: a relaxed K3CaF crystal at the PBE-GGA level of DFT.

a b c (Å): 7.6431 7.6431 7.6431
angles (deg): 90.00 90.00 90.00
With the nearest neighbours (Å) after each atom.
Element x y z (fractional)
Ca 0.0000 0.0000 0.0000  6 K 3.82
F 0.5000 0.5000 0.5000  12 K 5.40
K 0.5000 0.0000 0.0000  2 Ca 3.82
K 0.0000 0.5000 0.0000  2 Ca 3.82
K 0.0000 0.0000 0.5000  2 Ca 3.82

Calculated values
Energy relative to the elements, uncorrected   -0.011 eV per atom
E   -7.2 eV for the cell shown

=====

(4)
Computed, not measured: a relaxed K4CaF6 crystal at the PBE-GGA level of DFT.

a b c (Å): 7.4709 7.4709 7.4709
angles (deg): 90.15 90.15 89.85
With the nearest neighbours (Å) after each atom.
Element x y z (fractional)
F 0.9260 0.7115 0.9450  1 Ca 2.26
F 0.7885 0.5740 0.5550  1 Ca 2.26
F 0.9450 0.0740 0.7115  1 Ca 2.26
F 0.0740 0.2885 0.0550  1 Ca 2.26
F 0.2115 0.4260 0.4450  1 Ca 2.26
F 0.0550 0.9260 0.2885  1 Ca 2.26
F 0.2885 0.9450 0.9260  1 Ca 2.26
F 0.4450 0.7885 0.4260  1 Ca 2.26
F 0.7115 0.0550 0.0740  1 Ca 2.26
F 0.5550 0.2115 0.5740  1 Ca 2.26
F 0.5740 0.4450 0.2115  1 Ca 2.26
F 0.4260 0.5550 0.7885  1 Ca 2.26
Ca 0.0000 0.0000 0.0000  6 F 2.26
Ca 0.5000 0.5000 0.5000  6 F 2.26
K 0.7500 0.3950 0.8950  6 F 2.73-2.89
K 0.2500 0.2500 0.7500  6 F 2.65
K 0.2500 0.6050 0.1050  6 F 2.73-2.89
K 0.7500 0.7500 0.2500  6 F 2.65
K 0.1050 0.7500 0.6050  6 F 2.73-2.89
K 0.6050 0.8950 0.7500  6 F 2.73-2.89
K 0.8950 0.2500 0.3950  6 F 2.73-2.89
K 0.3950 0.1050 0.2500  6 F 2.73-2.89

Calculated values
Energy relative to the elements, uncorrected   -3.036 eV per atom
E   -102.0 eV for the cell shown

=====

(5)
Computed, not measured: a relaxed K2Ca2F7 crystal at the PBE-GGA level of DFT.

a b c (Å): 8.3611 8.3611 8.3611
angles (deg): 60.00 60.00 60.00
With the nearest neighbours (Å) after each atom.
Element x y z (fractional)
F 0.0501 0.4499 0.0501  2 Ca 2.27
F 0.7500 0.7500 0.7500  4 K 2.56
F 0.4499 0.4499 0.0501  2 Ca 2.27
F 0.1999 0.1999 0.8001  2 Ca 2.27
F 0.5000 0.5000 0.5000  4 K 2.56
F 0.8001 0.8001 0.1999  2 Ca 2.27
F 0.1999 0.8001 0.8001  2 Ca 2.27
F 0.8001 0.1999 0.8001  2 Ca 2.27
F 0.4499 0.0501 0.0501  2 Ca 2.27
F 0.0501 0.0501 0.4499  2 Ca 2.27
F 0.4499 0.0501 0.4499  2 Ca 2.27
F 0.0501 0.4499 0.4499  2 Ca 2.27
F 0.8001 0.1999 0.1999  2 Ca 2.27
F 0.1999 0.8001 0.1999  2 Ca 2.27
Ca 0.1250 0.1250 0.1250  6 F 2.27
Ca 0.1250 0.6250 0.1250  6 F 2.27
Ca 0.6250 0.1250 0.1250  6 F 2.27
Ca 0.1250 0.1250 0.6250  6 F 2.27
K 0.6250 0.6250 0.1250  2 F 2.56
K 0.1250 0.6250 0.6250  2 F 2.56
K 0.6250 0.1250 0.6250  2 F 2.56
K 0.6250 0.6250 0.6250  2 F 2.56

Calculated values
Energy relative to the elements, uncorrected   -3.122 eV per atom
E   -107.3 eV for the cell shown

=====

(6)
Computed, not measured: a relaxed K2Ca3F8 crystal at the PBE-GGA level of DFT.

a b c (Å): 6.0224 7.1234 7.2508
angles (deg): 119.42 108.22 90.00
With the nearest neighbours (Å) after each atom.
Element x y z (fractional)
Ca 0.5000 0.0000 0.0000  6 F 2.27-2.32
Ca 0.0000 0.7419 0.0000  6 F 2.25-2.35
Ca 0.0000 0.2581 0.0000  6 F 2.25-2.35
F 0.6100 0.1116 0.7918  2 Ca 2.26-2.27
F 0.6100 0.6802 0.7918  2 Ca 2.26-2.27
F 0.9087 0.0932 0.1864  3 Ca 2.32-2.35
F 0.9398 0.6008 0.2017  2 Ca 2.25
F 0.0602 0.3992 0.7983  2 Ca 2.25
F 0.0913 0.9068 0.8136  3 Ca 2.32-2.35
F 0.3900 0.3198 0.2082  2 Ca 2.26-2.27
F 0.3900 0.8884 0.2082  2 Ca 2.26-2.27
K 0.6540 0.7178 0.4356  6 F 2.64-2.85
K 0.3460 0.2822 0.5644  6 F 2.64-2.85

Calculated values
Energy relative to the elements, uncorrected   -3.542 eV per atom
E   -69.2 eV for the cell shown

=====

(7)
Computed, not measured: a relaxed K5Ca3F12 crystal at the PBE-GGA level of DFT.

a b c (Å): 12.5099 12.5099 12.5099
angles (deg): 109.47 109.47 109.47
With the nearest neighbours (Å) after each atom.
Element x y z (fractional)
F 0.9415 0.8270 0.5741  1 Ca 2.30, 1 K 2.47, 1 F 2.56
F 0.2529 0.3855 0.8270  1 Ca 2.30, 1 K 2.47, 1 F 2.56
F 0.3270 0.7529 0.3855  1 Ca 2.30, 1 K 2.47, 1 F 2.56
F 0.5585 0.9259 0.6730  1 Ca 2.30, 1 K 2.47, 1 F 2.56
F 0.8674 0.6145 0.9415  1 Ca 2.30, 1 K 2.47, 1 F 2.56
F 0.0585 0.8855 0.1326  1 Ca 2.30, 1 K 2.47, 1 F 2.56
F 0.1730 0.0585 0.9259  1 Ca 2.30, 1 K 2.47, 1 F 2.56
F 0.3674 0.4415 0.1145  1 Ca 2.30, 1 K 2.47, 1 F 2.56
F 0.8855 0.8270 0.7529  1 Ca 2.30, 1 K 2.47, 1 F 2.56
F 0.9259 0.3674 0.2529  1 Ca 2.30, 1 K 2.47, 1 F 2.56
F 0.8674 0.2529 0.4259  1 Ca 2.30, 1 K 2.47, 1 F 2.56
F 0.9259 0.5585 0.1730  1 Ca 2.30, 1 K 2.47, 1 F 2.56
F 0.0741 0.4415 0.8270  1 Ca 2.30, 1 K 2.47, 1 F 2.56
F 0.2471 0.5741 0.6326  1 Ca 2.30, 1 K 2.47, 1 F 2.56
F 0.9415 0.1145 0.8674  1 Ca 2.30, 1 K 2.47, 1 F 2.56
F 0.8270 0.8855 0.2529  1 Ca 2.30, 1 K 2.47, 1 F 2.56
F 0.4415 0.3674 0.6145  1 Ca 2.30, 1 K 2.47, 1 F 2.56
F 0.8270 0.9415 0.0741  1 Ca 2.30, 1 K 2.47, 1 F 2.56
F 0.6730 0.2471 0.6145  1 Ca 2.30, 1 K 2.47, 1 F 2.56
F 0.5585 0.6326 0.3855  1 Ca 2.30, 1 K 2.47, 1 F 2.56
F 0.1326 0.7471 0.5741  1 Ca 2.30, 1 K 2.47, 1 F 2.56
F 0.0585 0.1730 0.4259  1 Ca 2.30, 1 K 2.47, 1 F 2.56
F 0.6730 0.4259 0.5585  1 Ca 2.30, 1 K 2.47, 1 F 2.56
F 0.1145 0.9415 0.3674  1 Ca 2.30, 1 K 2.47, 1 F 2.56
F 0.4415 0.0741 0.3270  1 Ca 2.30, 1 K 2.47, 1 F 2.56
F 0.3674 0.9259 0.7529  1 Ca 2.30, 1 K 2.47, 1 F 2.56
F 0.5741 0.3270 0.9415  1 Ca 2.30, 1 K 2.47, 1 F 2.56
F 0.8855 0.0585 0.6326  1 Ca 2.30, 1 K 2.47, 1 F 2.56
F 0.6326 0.5585 0.8855  1 Ca 2.30, 1 K 2.47, 1 F 2.56
F 0.2529 0.8674 0.9259  1 Ca 2.30, 1 K 2.47, 1 F 2.56
F 0.6145 0.7471 0.6730  1 Ca 2.30, 1 K 2.47, 1 F 2.56
F 0.1326 0.3855 0.0585  1 Ca 2.30, 1 K 2.47, 1 F 2.56
F 0.3855 0.2529 0.3270  1 Ca 2.30, 1 K 2.47, 1 F 2.56
F 0.7529 0.3270 0.8855  1 Ca 2.30, 1 K 2.47, 1 F 2.56
F 0.3855 0.1326 0.5585  1 Ca 2.30, 1 K 2.47, 1 F 2.56
F 0.6145 0.8674 0.4415  1 Ca 2.30, 1 K 2.47, 1 F 2.56
F 0.4259 0.6730 0.0585  1 Ca 2.30, 1 K 2.47, 1 F 2.56
F 0.4259 0.7529 0.8674  1 Ca 2.30, 1 K 2.47, 1 F 2.56
F 0.5741 0.2471 0.1326  1 Ca 2.30, 1 K 2.47, 1 F 2.56
F 0.2471 0.6730 0.1145  1 Ca 2.30, 1 K 2.47, 1 F 2.56
F 0.0741 0.6326 0.7471  1 Ca 2.30, 1 K 2.47, 1 F 2.56
F 0.1730 0.1145 0.7471  1 Ca 2.30, 1 K 2.47, 1 F 2.56
F 0.3270 0.5741 0.4415  1 Ca 2.30, 1 K 2.47, 1 F 2.56
F 0.7471 0.6145 0.1730  1 Ca 2.30, 1 K 2.47, 1 F 2.56
F 0.7529 0.4259 0.3674  1 Ca 2.30, 1 K 2.47, 1 F 2.56
F 0.1145 0.1730 0.2471  1 Ca 2.30, 1 K 2.47, 1 F 2.56
F 0.6326 0.0741 0.2471  1 Ca 2.30, 1 K 2.47, 1 F 2.56
F 0.7471 0.1326 0.0741  1 Ca 2.30, 1 K 2.47, 1 F 2.56
Ca 0.2500 0.6250 0.8750  4 F 2.30
Ca 0.3750 0.6250 0.2500  4 F 2.30
Ca 0.1250 0.8750 0.7500  4 F 2.30
Ca 0.6250 0.3750 0.7500  4 F 2.30
Ca 0.7500 0.8750 0.6250  4 F 2.30
Ca 0.8750 0.1250 0.2500  4 F 2.30
Ca 0.2500 0.1250 0.3750  4 F 2.30
Ca 0.7500 0.3750 0.1250  4 F 2.30
Ca 0.3750 0.7500 0.6250  4 F 2.30
Ca 0.1250 0.2500 0.8750  4 F 2.30
Ca 0.8750 0.7500 0.1250  4 F 2.30
Ca 0.6250 0.2500 0.3750  4 F 2.30
K 0.0000 0.5000 0.0000  6 F 2.61
K 0.0000 0.0000 0.5000  6 F 2.61
K 0.2500 0.3750 0.6250  4 F 2.47
K 0.5000 0.0000 0.5000  6 F 2.61
K 0.1250 0.3750 0.2500  4 F 2.47
K 0.6250 0.8750 0.2500  4 F 2.47
K 0.3750 0.2500 0.1250  4 F 2.47
K 0.5000 0.0000 0.0000  6 F 2.61
K 0.0000 0.0000 0.0000  6 F 2.61
K 0.3750 0.1250 0.7500  4 F 2.47
K 0.1250 0.7500 0.3750  4 F 2.47
K 0.8750 0.2500 0.6250  4 F 2.47
K 0.5000 0.5000 0.0000  6 F 2.61
K 0.6250 0.7500 0.8750  4 F 2.47
K 0.7500 0.6250 0.3750  4 F 2.47
K 0.2500 0.8750 0.1250  4 F 2.47
K 0.8750 0.6250 0.7500  4 F 2.47
K 0.5000 0.5000 0.5000  6 F 2.61
K 0.7500 0.1250 0.8750  4 F 2.47
K 0.0000 0.5000 0.5000  6 F 2.61

Calculated values
Energy relative to the elements, uncorrected   -2.956 eV per atom
E   -372.3 eV for the cell shown

=====

(8)
Computed, not measured: a relaxed K3CaF crystal at the PBE-GGA level of DFT.

a b c (Å): 5.9308 5.9308 5.9308
angles (deg): 90.00 90.00 90.00
With the nearest neighbours (Å) after each atom.
Element x y z (fractional)
Ca 0.5000 0.5000 0.5000  12 K 4.19
K 0.5000 0.0000 0.0000  2 F 2.97
K 0.0000 0.5000 0.0000  2 F 2.97
K 0.0000 0.0000 0.5000  2 F 2.97
F 0.0000 0.0000 0.0000  6 K 2.97

Calculated values
Energy relative to the elements, uncorrected   -0.833 eV per atom
E   -11.3 eV for the cell shown

=====

Question: Look up the energy relative to the elements, uncorrected of the fifth one.
Answer: -3.122 eV per atom

=====

Question: Which value of E does entry 1 give?
Answer: -19.0 eV for the cell shown

=====

Question: Number 1 is which compound?
Answer: CaZnIr2F

=====

Question: What is the energy relative to the elements, uncorrected in the fifth record?
Answer: -3.122 eV per atom